Below is crystalline Na6BiPb2 at its relaxed geometry, with properties calculated at the PBE level.

The value obtained for the energy of formation is -1.63 eV/f.u.

Unit cell a=9.3176 b=9.3176 c=10.2349 alpha=90.00 beta=90.00 gamma=120.00
With the nearest neighbours (Å) after each atom.
Space group R-3m (No. 166, hexagonal axes)
Unique sites:
Na  0.0000  0.3339  0.0000 x18  5 Na 3.10-3.41
Bi  0.0000  0.0000  0.5000 x3  2 Pb 3.45, 12 Na 3.54
Pb  0.0000  0.0000  0.1631 x6  1 Pb 3.34, 1 Bi 3.45, 12 Na 3.53-3.56

Below is crystalline Na2Bi6Pb at its relaxed geometry, with properties calculated at the PBE level.

The value obtained for the energy of formation is -0.85 eV/f.u.

Unit cell a=8.5327 b=10.9953 c=6.1504 alpha=90.00 beta=93.65 gamma=90.00
With the nearest neighbours (Å) after each atom.
Space group C2/m (No. 12)
Unique sites:
Na  0.1693  0.0000  0.1684 x4  1 Pb 3.37, 1 Na 3.45, 8 Bi 3.47-3.52
Bi  0.0000  0.3432  0.0000 x4  5 Bi 3.33-3.45, 2 Na 3.52, 2 Pb 3.53
Bi  0.1672  0.1483  0.6705 x8  5 Bi 3.26-3.43, 3 Na 3.47-3.50, 1 Pb 3.49
Pb  0.0000  0.5000  0.5000 x2  2 Na 3.37, 8 Bi 3.49-3.53

- Which of these has the lowest energy of formation?
  Na6BiPb2

What did the second record say?
Below is crystalline Na2Bi6Pb at its relaxed geometry, with properties calculated at the PBE level.

The value obtained for the energy of formation is -0.85 eV/f.u.

Unit cell a=8.5327 b=10.9953 c=6.1504 alpha=90.00 beta=93.65 gamma=90.00
With the nearest neighbours (Å) after each atom.
Space group C2/m (No. 12)
Unique sites:
Na  0.1693  0.0000  0.1684 x4  1 Pb 3.37, 1 Na 3.45, 8 Bi 3.47-3.52
Bi  0.0000  0.3432  0.0000 x4  5 Bi 3.33-3.45, 2 Na 3.52, 2 Pb 3.53
Bi  0.1672  0.1483  0.6705 x8  5 Bi 3.26-3.43, 3 Na 3.47-3.50, 1 Pb 3.49
Pb  0.0000  0.5000  0.5000 x2  2 Na 3.37, 8 Bi 3.49-3.53

- Look up the energy of formation of the second one.
  -0.85 eV/f.u.

- Among the records above, which one has the lowest energy of formation?
  Na6BiPb2